Record 1
First-principles (PBE-GGA) data for an optimized crystal structure of LiSmBeGe2, as listed in Alexandria via LeMat-Bulk.

Results
uncorrected energy = -0.3219 Ry/atom
magnetization = 0.000 μB/f.u.
volume = 171.5 Å³/cell
density = 6.04 Mg/m³
E_form = -2.301 eV per formula unit

Cell lengths 4.092, 4.092, 10.240 Å; angles 90.00, 90.00, 90.00 degrees
Fractional positions:
Li 0.000 0.000 0.000
Li 0.500 0.500 0.500
Sm 0.000 0.500 0.250
Sm 0.500 0.000 0.750
Be 0.000 0.000 0.500
Be 0.500 0.500 0.000
Ge 0.000 0.500 0.627
Ge 0.000 0.500 0.873
Ge 0.500 0.000 0.127
Ge 0.500 0.000 0.373

Record 2
First-principles (PBE-GGA) data for an optimized crystal structure of K3Pu2MgS6, as listed in Alexandria via LeMat-Bulk.

Results
uncorrected energy = -0.4655 Ry/atom
formation energy from raw total energies = -1.47 eV/atom
magnetization = 9.000 μB/f.u.
volume = 307.2 Å³/cell
density = 4.44 Mg/m³

Cell lengths 6.962, 6.962, 7.677 Å; angles 98.68, 98.68, 120.00 degrees
Fractional positions:
K 0.000 0.000 0.000
K 0.335 0.665 0.000
K 0.665 0.335 0.000
Pu 0.167 0.833 0.500
Pu 0.833 0.167 0.500
Mg 0.500 0.500 0.500
S 0.103 0.434 0.303
S 0.234 0.234 0.697
S 0.434 0.103 0.303
S 0.566 0.897 0.697
S 0.766 0.766 0.303
S 0.897 0.566 0.697

Record 3
First-principles (PBE-GGA) data for an optimized crystal structure of Nd12Ga6Ru, as listed in Alexandria via LeMat-Bulk.

Results
uncorrected energy = -0.3479 Ry/atom
magnetization = 0.000 μB/f.u.
volume = 567.0 Å³/cell
density = 6.59 Mg/m³
E_form = -5.277 eV per formula unit

Cell lengths 8.289, 8.289, 8.289 Å; angles 93.05, 93.05, 93.05 degrees
Fractional positions:
Nd 0.041 0.917 0.680
Nd 0.083 0.320 0.959
Nd 0.194 0.428 0.552
Nd 0.320 0.959 0.083
Nd 0.428 0.552 0.194
Nd 0.448 0.806 0.572
Nd 0.552 0.194 0.428
Nd 0.572 0.448 0.806
Nd 0.680 0.041 0.917
Nd 0.806 0.572 0.448
Nd 0.917 0.680 0.041
Nd 0.959 0.083 0.320
Ga 0.144 0.733 0.347
Ga 0.267 0.653 0.856
Ga 0.347 0.144 0.733
Ga 0.653 0.856 0.267
Ga 0.733 0.347 0.144
Ga 0.856 0.267 0.653
Ru 0.000 0.000 0.000

Record 4
First-principles (PBE-GGA) data for an optimized crystal structure of TlW2Cl, as listed in Alexandria via LeMat-Bulk.

Results
uncorrected energy = -0.4812 Ry/atom
formation energy from raw total energies = 0.98 eV/atom
magnetization = 0.000 μB/f.u.
volume = 88.3 Å³/cell
distance to the lowest polymorph of the same formula = 0.6912 eV per atom
density = 11.42 Mg/m³

Cell lengths 3.389, 5.160, 5.069 Å; angles 90.00, 94.86, 90.00 degrees
Fractional positions:
Tl 0.000 0.000 0.000
W 0.288 0.500 0.175
W 0.712 0.500 0.825
Cl 0.500 0.000 0.500